# 1
VASP calculation (GGA-PBEsol) on an optimized crystal structure of SrMg2.

- Formation energy: -0.025 eV/atom

Cell: 3.868 3.868 6.770 Å, 106.60 106.60 90.00°
Fractional coordinates of all 3 atoms:
1 Sr 0.000 0.000 0.000
2 Mg 0.310 0.310 0.620
3 Mg 0.690 0.690 0.380

=====

# 2
VASP calculation (GGA-PBEsol) on an optimized crystal structure of ScRh2Se.

- Relative energy among the computed polymorphs: 153 meV/atom
- Formation energy from raw total energies: -0.486 eV/atom

Cell: 3.072 4.416 4.645 Å, 90.00 93.23 90.00°
Fractional coordinates of all 4 atoms:
1 Rh 0.783 0.000 0.740
2 Se 0.000 0.500 0.500
3 Rh 0.217 0.000 0.260
4 Sc 0.500 0.500 0.000

=====

# 3
VASP calculation (GGA-PBEsol) on an optimized crystal structure of MnTc3Ag.

- Formation energy: 1.316 eV/atom

Cell: 4.340 4.340 4.340 Å, 90.00 90.00 90.00°
Last column: magnetic moment on the atom in μB.
Fractional coordinates of all 5 atoms:
1 Tc 0.000 0.000 0.500  0.23
2 Mn 0.000 0.000 0.000  -0.04
3 Ag 0.500 0.500 0.500  0.03
4 Tc 0.000 0.500 0.000  0.23
5 Tc 0.500 0.000 0.000  0.23

=====

# 4
VASP calculation (GGA-PBEsol) on an optimized crystal structure of RbRuF2.

- Formation energy from raw total energies: -0.611 eV/atom

Cell: 4.451 4.451 4.451 Å, 60.00 60.00 60.00°
Last column: magnetic moment on the atom in μB.
Fractional coordinates of all 4 atoms:
1 F 0.250 0.250 0.250  0.08
2 F 0.750 0.750 0.750  0.08
3 Ru 0.500 0.500 0.500  2.62
4 Rb 0.000 0.000 0.000  0.00

=====

One value per record, in order, for DFT total energy: -1.78 -7.17 -8.06 -4.37 eV/atom.